[1]
Below is a relaxed structure of PmFeGe2, with properties calculated at the PBE level.

Output
**Polymorph energy (0 for the lowest one)**: 54.2 meV/atom
**Calculated total energy**: -6.09 eV/atom
**Formation energy from the elements**: -11.0 kcal/mol of atoms
**Space group**: R-3m, No. 166

Geometry as extended XYZ:
```
4
Lattice="4.095 0.000 0.000 2.047 3.546 0.000 2.047 1.182 5.185" Properties=species:S:1:pos:R:3 pbc="T T T"
Ge 6.142 3.546 3.349
Ge 2.047 1.182 1.835
Fe 4.095 2.364 2.592
Pm 0.000 0.000 0.000
```

=====

[2]
Below is a relaxed structure of ZrCrTc2, with properties calculated at the PBE level.

Output
**Calculated total energy**: -9.71 eV/atom
**Formation energy from the elements**: 0.3 kcal/mol of atoms
**Space group**: Immm, No. 71

Geometry as extended XYZ:
```
4
Lattice="-1.032 -3.416 -3.730 0.899 -4.926 1.255 -2.709 4.237 1.163" Properties=species:S:1:pos:R:3 pbc="T T T"
Cr -0.938 -2.430 0.590
Tc -0.002 -0.138 -0.041
Tc -0.064 -4.033 -1.196
Zr -1.904 -1.675 -1.902
```

=====

[3]
Below is a relaxed structure of Pr3Nd4Pd4, with properties calculated at the PBE level.

Output
**Calculated total energy**: -5.42 eV/atom
**Formation energy from the elements**: -11.3 kcal/mol of atoms
**Space group**: Immm, No. 71

Geometry as extended XYZ:
```
11
Lattice="4.923 0.000 0.000 0.000 7.734 0.000 -2.461 -3.867 8.004" Properties=species:S:1:pos:R:3 pbc="T T T"
Pr 0.000 0.000 1.599
Pr 2.461 3.867 6.405
Pr 0.000 3.867 0.000
Nd 0.000 -1.709 5.282
Nd 2.461 2.158 2.721
Nd 2.461 5.575 2.721
Nd 0.000 1.709 5.282
Pd 0.000 3.867 3.227
Pd 2.461 0.000 4.776
Pd 2.461 6.323 0.000
Pd 2.461 1.410 0.000
```

=====

[4]
Below is a relaxed structure of In2AsN2, with properties calculated at the PBE level.

Output
**Formation energy (no corrections)**: 0.80 eV/atom
**Polymorph energy (0 for the lowest one)**: 0.0 meV/atom
**Calculated total energy**: -4.56 eV/atom
**Space group**: P4/mbm, No. 127

Geometry as extended XYZ:
```
10
Lattice="6.892 0.000 0.000 0.000 6.892 0.000 0.000 0.000 3.541" Properties=species:S:1:pos:R:3 pbc="T T T"
As 0.000 0.000 0.000
As 3.446 3.446 0.000
N 1.830 5.276 0.000
N 5.276 5.062 0.000
N 5.062 1.616 0.000
N 1.616 1.830 0.000
In 0.953 4.399 1.770
In 4.399 5.940 1.770
In 5.940 2.494 1.770
In 2.494 0.953 1.770
```

=====

[5]
Below is a relaxed structure of RbCrN2, with properties calculated at the PBE level.

Output
**Formation energy (no corrections)**: 0.43 eV/atom
**Polymorph energy (0 for the lowest one)**: 913.0 meV/atom
**Calculated total energy**: -6.38 eV/atom
**Space group**: R-3m, No. 166

Geometry as extended XYZ:
```
4
Lattice="1.780 0.000 6.990 -0.890 1.541 6.990 -0.890 -1.541 6.990" Properties=species:S:1:pos:R:3 pbc="T T T"
Cr 0.000 0.000 10.484
Rb 0.000 0.000 0.000
N 0.000 0.000 18.417
N 0.000 0.000 2.551
```

=====

[6]
Below is a relaxed structure of Tb9Y2Tm, with properties calculated at the PBE level.

Output
**Polymorph energy (0 for the lowest one)**: 37.6 meV/atom
**Calculated total energy**: -4.86 eV/atom
**Formation energy from the elements**: 1.3 kcal/mol of atoms
**Space group**: P6/mmm, No. 191

Geometry as extended XYZ:
```
12
Lattice="-0.484 2.845 1.957 -8.428 3.194 -6.728 -2.093 -6.502 8.936" Properties=species:S:1:pos:R:3 pbc="T T T"
Tb -1.046 -3.251 4.468
Tb -5.260 -1.654 1.104
Tb -4.214 1.597 -3.364
Tb -3.546 1.402 0.190
Tb -3.439 -3.389 7.183
Tb -2.441 -0.288 2.921
Tb -8.563 -0.175 1.243
Tb -7.565 2.926 -3.019
Tb -7.459 -1.866 3.974
Y -4.204 -3.270 3.714
Y -6.316 -0.038 -1.507
Tm 0.000 0.000 0.000
```

=====

[7]
Below is a relaxed structure of KAs3Ir, with properties calculated at the PBE level.

Output
**Polymorph energy (0 for the lowest one)**: 2071.9 meV/atom
**Calculated total energy**: -2.41 eV/atom
**Formation energy from the elements**: 54.7 kcal/mol of atoms
**Space group**: Pm-3m, No. 221

Geometry as extended XYZ:
```
5
Lattice="5.112 0.000 0.000 0.000 5.112 0.000 0.000 0.000 5.112" Properties=species:S:1:pos:R:3 pbc="T T T"
As 0.000 2.556 0.000
As 0.000 0.000 2.556
As 2.556 0.000 0.000
Ir 2.556 2.556 2.556
K 0.000 0.000 0.000
```

=====

[8]
Below is a relaxed structure of Cs2MgICl6, with properties calculated at the PBE level.

Output
**Formation energy (no corrections)**: -1.32 eV/atom
**Calculated total energy**: -2.91 eV/atom
**Space group**: I4/mmm, No. 139

Geometry as extended XYZ:
```
10
Lattice="-3.850 -3.390 -6.324 -3.815 -5.112 5.062 -7.767 -0.784 -0.095" Properties=species:S:1:pos:R:3 pbc="T T T"
Cs -7.724 -4.212 -3.525
Cs -7.707 -5.073 2.168
I 0.000 0.000 0.000
Mg -3.832 -4.251 -0.631
Cl -5.898 -2.431 -0.350
Cl -9.533 -6.855 -1.008
Cl -2.209 -2.451 -0.364
Cl -5.455 -6.051 -0.899
Cl -3.840 -3.886 -3.042
Cl -3.825 -4.616 1.780
```

=====

[9]
Below is a relaxed structure of Sn2AsRh2, with properties calculated at the PBE level.

Output
**Polymorph energy (0 for the lowest one)**: 338.0 meV/atom
**Calculated total energy**: -5.37 eV/atom
**Formation energy from the elements**: 2.2 kcal/mol of atoms
**Space group**: I4/mmm, No. 139

Geometry as extended XYZ:
```
5
Lattice="4.127 0.000 0.000 0.000 4.127 0.000 2.063 2.063 5.992" Properties=species:S:1:pos:R:3 pbc="T T T"
As 0.000 0.000 0.000
Rh 2.063 2.063 1.327
Rh 4.127 4.127 4.665
Sn 4.127 2.063 2.996
Sn 2.063 4.127 2.996
```

=====

[10]
Below is a relaxed structure of InW2I, with properties calculated at the PBE level.

Output
**Formation energy (no corrections)**: 1.32 eV/atom
**Polymorph energy (0 for the lowest one)**: 0.0 meV/atom
**Calculated total energy**: -6.22 eV/atom
**Space group**: Fm-3m, No. 225

Geometry as extended XYZ:
```
4
Lattice="0.000 3.341 3.341 3.341 0.000 3.341 3.341 3.341 0.000" Properties=species:S:1:pos:R:3 pbc="T T T"
I 3.341 3.341 3.341
W 1.671 1.671 1.671
W 5.012 5.012 5.012
In 0.000 0.000 0.000
```

=====

[11]
Below is a relaxed structure of MnNiOs, with properties calculated at the PBE level.

Output
**Polymorph energy (0 for the lowest one)**: 88.4 meV/atom
**Calculated total energy**: -8.59 eV/atom
**Formation energy from the elements**: 3.2 kcal/mol of atoms
**Space group**: I4mm, No. 107

Geometry as extended XYZ:
```
3
Lattice="4.537 -0.022 0.000 2.501 3.786 0.000 -3.519 -1.882 2.159" Properties=species:S:1:pos:R:3 pbc="T T T"
Mn 7.004 3.745 0.000
Ni 2.398 1.282 0.000
Os 4.675 2.500 0.000
```

=====

[12]
Below is a relaxed structure of TiCoCuNi, with properties calculated at the PBE level.

Output
**Polymorph energy (0 for the lowest one)**: 0.0 meV/atom
**Calculated total energy**: -6.51 eV/atom
**Formation energy from the elements**: -6.7 kcal/mol of atoms
**Space group**: Pmmm, No. 47

Geometry as extended XYZ:
```
4
Lattice="-0.070 -1.985 2.738 3.477 0.851 0.706 -1.171 3.005 2.148" Properties=species:S:1:pos:R:3 pbc="T T T"
Ti 1.153 1.928 1.427
Co -0.621 0.510 2.443
Cu 0.000 0.000 0.000
Ni 1.704 -0.567 1.722
```